Entry 1:
## Ba2Ir3O10 (PBE-GGA)

Data for an optimized crystal structure of Ba2Ir3O10.

Properties
The calculation puts the calculated volume at 809.3 Å³ per cell. The value obtained for the raw formation energy is -1294 meV/atom.

```
data_Ba2Ir3O10
_chemical_formula_sum 'Ba8 Ir12 O40'
_symmetry_space_group_name_H-M 'C 1 2/m 1'
_symmetry_Int_Tables_number 12
_cell_length_a 18.4937
_cell_length_b 6.1406
_cell_length_c 7.7167
_cell_angle_alpha 90.00
_cell_angle_beta 112.55
_cell_angle_gamma 90.00
loop_
_symmetry_equiv_pos_as_xyz
'x,y,z'
'-x,-y,-z'
'-x,y,-z'
'x,-y,z'
'x+1/2,y+1/2,z'
'-x+1/2,-y+1/2,-z'
'-x+1/2,y+1/2,-z'
'x+1/2,-y+1/2,z'
loop_
_atom_site_label
_atom_site_type_symbol
_atom_site_fract_x
_atom_site_fract_y
_atom_site_fract_z
_atom_site_occupancy
Ba1 Ba 0.1152 0.0000 0.2203 1
Ba2 Ba 0.2155 0.0000 0.8018 1
Ir1 Ir 0.0000 0.2500 0.5000 1
Ir2 Ir 0.0794 0.5000 0.9667 1
Ir3 Ir 0.1767 0.5000 0.5140 1
O1 O 0.0000 0.2975 0.0000 1
O2 O 0.0210 0.0000 0.6731 1
O3 O 0.0258 0.5000 0.6854 1
O4 O 0.1089 0.2535 0.5152 1
O5 O 0.1339 0.5000 0.2392 1
O6 O 0.1424 0.2687 0.9550 1
O7 O 0.2278 0.5000 0.7716 1
O8 O 0.2500 0.2500 0.5000 1
```

***

Entry 2:
## Ba2Ir3OsO12 (PBE-GGA)

Data for an optimized crystal structure of Ba2Ir3OsO12.

Properties
The calculation puts the calculated volume at 775.2 Å³ per cell. The value obtained for the raw formation energy is -1286 meV/atom.

```
data_Ba2Ir3OsO12
_chemical_formula_sum 'Ba6 Ir9 Os3 O36'
_symmetry_space_group_name_H-M 'R -3 m'
_symmetry_Int_Tables_number 166
_symmetry_space_group_name_Hall '-R 3 2"'
_cell_length_a 7.0857
_cell_length_b 7.0857
_cell_length_c 17.8297
_cell_angle_alpha 90.00
_cell_angle_beta 90.00
_cell_angle_gamma 120.00
loop_
_atom_site_label
_atom_site_type_symbol
_atom_site_fract_x
_atom_site_fract_y
_atom_site_fract_z
_atom_site_occupancy
Ba1 Ba 0.0000 0.0000 0.1226 1
Ir1 Ir 0.0000 0.5000 0.0000 1
Os1 Os 0.0000 0.0000 0.5000 1
O1 O 0.0598 0.5299 0.3639 1
O2 O 0.0721 0.5360 0.1085 1
```

***

Entry 3:
## BaIrOsO6 (PBE-GGA)

Data for an optimized crystal structure of BaIrOsO6.

Properties
The calculation puts the calculated volume at 517.2 Å³ per cell. The value obtained for the raw formation energy is -1345 meV/atom.

```
data_BaIrOsO6
_chemical_formula_sum 'Ba4 Ir4 Os4 O24'
_symmetry_space_group_name_H-M 'I m m a'
_symmetry_Int_Tables_number 74
_symmetry_space_group_name_Hall '-I 2b 2'
_cell_length_a 7.0196
_cell_length_b 7.2608
_cell_length_c 10.1473
_cell_angle_alpha 90.00
_cell_angle_beta 90.00
_cell_angle_gamma 90.00
loop_
_atom_site_label
_atom_site_type_symbol
_atom_site_fract_x
_atom_site_fract_y
_atom_site_fract_z
_atom_site_occupancy
Ba1 Ba 0.0000 0.2500 0.1198 1
Ir1 Ir 0.2500 0.2500 0.7500 1
Os1 Os 0.0000 0.0000 0.5000 1
O1 O 0.0000 0.2500 0.4618 1
O2 O 0.0000 0.2500 0.8371 1
O3 O 0.1977 0.0322 0.6310 1
```

***

Entry 4:
## Ba2Pa3IrO12 (PBE-GGA)

Data for an optimized crystal structure of Ba2Pa3IrO12.

Properties
The calculation puts the calculated volume at 1037.3 Å³ per cell. The value obtained for the raw formation energy is -2793 meV/atom.

```
data_Ba2Pa3IrO12
_chemical_formula_sum 'Ba6 Pa9 Ir3 O36'
_symmetry_space_group_name_H-M 'R -3 m'
_symmetry_Int_Tables_number 166
_symmetry_space_group_name_Hall '-R 3 2"'
_cell_length_a 8.0201
_cell_length_b 8.0201
_cell_length_c 18.6216
_cell_angle_alpha 90.00
_cell_angle_beta 90.00
_cell_angle_gamma 120.00
loop_
_atom_site_label
_atom_site_type_symbol
_atom_site_fract_x
_atom_site_fract_y
_atom_site_fract_z
_atom_site_occupancy
Ba1 Ba 0.0000 0.0000 0.1762 1
Pa1 Pa 0.0000 0.5000 0.0000 1
Ir1 Ir 0.0000 0.0000 0.5000 1
O1 O 0.0905 0.5452 0.3740 1
O2 O 0.0959 0.5480 0.1089 1
```

***

Please write out number 3 again, unchanged.
## BaIrOsO6 (PBE-GGA)

Data for an optimized crystal structure of BaIrOsO6.

Properties
The calculation puts the calculated volume at 517.2 Å³ per cell. The value obtained for the raw formation energy is -1345 meV/atom.

```
data_BaIrOsO6
_chemical_formula_sum 'Ba4 Ir4 Os4 O24'
_symmetry_space_group_name_H-M 'I m m a'
_symmetry_Int_Tables_number 74
_symmetry_space_group_name_Hall '-I 2b 2'
_cell_length_a 7.0196
_cell_length_b 7.2608
_cell_length_c 10.1473
_cell_angle_alpha 90.00
_cell_angle_beta 90.00
_cell_angle_gamma 90.00
loop_
_atom_site_label
_atom_site_type_symbol
_atom_site_fract_x
_atom_site_fract_y
_atom_site_fract_z
_atom_site_occupancy
Ba1 Ba 0.0000 0.2500 0.1198 1
Ir1 Ir 0.2500 0.2500 0.7500 1
Os1 Os 0.0000 0.0000 0.5000 1
O1 O 0.0000 0.2500 0.4618 1
O2 O 0.0000 0.2500 0.8371 1
O3 O 0.1977 0.0322 0.6310 1
```

***

Please write out number 4 again, unchanged.
## Ba2Pa3IrO12 (PBE-GGA)

Data for an optimized crystal structure of Ba2Pa3IrO12.

Properties
The calculation puts the calculated volume at 1037.3 Å³ per cell. The value obtained for the raw formation energy is -2793 meV/atom.

```
data_Ba2Pa3IrO12
_chemical_formula_sum 'Ba6 Pa9 Ir3 O36'
_symmetry_space_group_name_H-M 'R -3 m'
_symmetry_Int_Tables_number 166
_symmetry_space_group_name_Hall '-R 3 2"'
_cell_length_a 8.0201
_cell_length_b 8.0201
_cell_length_c 18.6216
_cell_angle_alpha 90.00
_cell_angle_beta 90.00
_cell_angle_gamma 120.00
loop_
_atom_site_label
_atom_site_type_symbol
_atom_site_fract_x
_atom_site_fract_y
_atom_site_fract_z
_atom_site_occupancy
Ba1 Ba 0.0000 0.0000 0.1762 1
Pa1 Pa 0.0000 0.5000 0.0000 1
Ir1 Ir 0.0000 0.0000 0.5000 1
O1 O 0.0905 0.5452 0.3740 1
O2 O 0.0959 0.5480 0.1089 1
```